## YTa2Tc (GGA-PBE)

Data for an optimized crystal structure of YTa2Tc.

abc: 4.520 3.091 5.735
angles: 76.69 90.00 90.00
Positions (direct):
Ta: 0.000 0.046 0.034
Ta: 0.000 0.454 0.466
Tc: 0.500 0.250 0.250
Y: 0.500 0.750 0.750

Output
For the calculated volume, the calculation gives 19.5 A^3/atom. Its formation energy is 180 meV per atom.